No. 1
{
  "formula": "Y2CoGeH",
  "functional": "PBE",
  "state": "relaxed",
  "spacegroup": "P4/mmm (123)",
  "lattice_angstrom": [[-3.963, 0.962, 2.617], [-1.137, -4.710, 0.009], [1.896, -0.452, 3.037]],
  "species": ["Y", "Y", "Ge", "Co", "H"],
  "frac_coords": [[0.000, 0.500, 0.000], [0.500, 0.000, 0.000], [0.500, 0.500, 0.500], [0.000, 0.000, 0.500], [0.000, 0.000, 0.000]]
}


No. 2
{
  "formula": "Zr2CoGeH",
  "functional": "PBE",
  "state": "relaxed",
  "spacegroup": "P4/mmm (123)",
  "lattice_angstrom": [[4.382, 0.000, 0.000], [0.000, 4.382, 0.000], [0.000, 0.000, 3.739]],
  "species": ["Zr", "Co", "H", "Zr", "Ge"],
  "frac_coords": [[0.000, 0.500, 0.000], [0.000, 0.000, 0.500], [0.000, 0.000, 0.000], [0.500, 0.000, 0.000], [0.500, 0.500, 0.500]]
}


no.,E (eV per atom)
1,-6.062
2,-6.859